8
Lattice="12.415 0.000 0.000 0.000 3.598 0.000 -0.162 0.000 4.641" Properties=species:S:1:pos:R:3 comment="NiPbSe2 (GGA-PBE, relaxed)" dos_at_fermi_per_ev_cell=2.7 e_form_raw_mev_per_atom=-251 vol_a3_per_atom=25.918 e_tot_ev_per_cell=-34.93 spacegroup="Cm, No. 8" pbc="T T T"
Ni 0.000 0.000 0.000
Ni 6.208 1.799 0.000
Pb 3.360 1.799 2.356
Pb 9.568 0.000 2.356
Se 1.331 1.799 4.599
Se 4.708 0.000 0.066
Se 7.539 0.000 4.599
Se 10.915 1.799 0.066